This record from the Alexandria database describes a relaxed structure of SrHoRh4. The functional is PBE.

Cell: 5.3986 5.3986 5.3986 Å, 60.00 60.00 60.00°
Atoms (fractional coordinates):
Sr 0.0000 0.0000 0.0000
Ho 0.7500 0.7500 0.7500
Rh 0.3753 0.3753 0.3753
Rh 0.3753 0.3753 0.8740
Rh 0.3753 0.8740 0.3753
Rh 0.8740 0.3753 0.3753

* calculated formation energy: -48 kJ per mole of atoms
* N(E_F): 0.5281 states/eV per atom
* total magnetic moment: 0.00 μB/atom